(1)
An optimized crystal structure of Mg2PHF. Source: Alexandria via LeMat-Bulk, functional PBE.

- Space group: P4/mmm, No. 123
- Raw total energy: -3.313 eV per atom

Unit cell a=4.516 b=4.516 c=3.399 alpha=90.00 beta=90.00 gamma=90.00
Fractional positions:
1 Mg 0.000 0.500 0.000
2 Mg 0.500 0.000 0.000
3 P 0.000 0.000 0.500
4 H 0.000 0.000 0.000
5 F 0.500 0.500 0.500

=====

(2)
An optimized crystal structure of MgH2PbF8. Source: Alexandria via LeMat-Bulk, functional PBE.

- Space group: P-1, No. 2
- Raw total energy: -4.409 eV per atom

Unit cell a=4.823 b=4.886 c=6.641 alpha=88.87 beta=83.36 gamma=77.70
Fractional positions:
1 Mg 0.000 0.000 0.000
2 H 0.454 0.248 0.867
3 H 0.546 0.752 0.133
4 Pb 0.000 0.000 0.500
5 F 0.198 0.796 0.750
6 F 0.256 0.801 0.213
7 F 0.261 0.274 0.498
8 F 0.265 0.270 0.953
9 F 0.735 0.730 0.047
10 F 0.739 0.726 0.502
11 F 0.744 0.199 0.787
12 F 0.802 0.204 0.250

=====

(3)
An optimized crystal structure of Rb2MgHF3. Source: Alexandria via LeMat-Bulk, functional PBE.

- Space group: Immm, No. 71
- Raw total energy: -4.166 eV per atom

Unit cell a=7.597 b=7.597 c=7.597 alpha=148.68 beta=148.38 gamma=45.10
Fractional positions:
1 Rb 0.148 0.148 0.000
2 Rb 0.852 0.852 0.000
3 Mg 0.500 0.500 0.000
4 H 0.500 0.000 0.500
5 F 0.000 0.500 0.500
6 F 0.355 0.355 0.000
7 F 0.645 0.645 0.000

=====

(4)
An optimized crystal structure of RbMgH2F. Source: Alexandria via LeMat-Bulk, functional PBE.

- Space group: P4/mmm, No. 123
- Raw total energy: -3.459 eV per atom

Unit cell a=4.117 b=4.117 c=4.155 alpha=90.00 beta=90.00 gamma=90.00
Fractional positions:
1 Rb 0.000 0.000 0.000
2 Mg 0.500 0.500 0.500
3 H 0.000 0.500 0.500
4 H 0.500 0.000 0.500
5 F 0.500 0.500 0.000

=====

(5)
An optimized crystal structure of Rb2MgH3F. Source: Alexandria via LeMat-Bulk, functional PBE.

- Space group: Immm, No. 71
- Raw total energy: -3.156 eV per atom

Unit cell a=7.689 b=7.689 c=7.689 alpha=148.54 beta=148.30 gamma=45.27
Fractional positions:
1 Rb 0.144 0.144 0.000
2 Rb 0.856 0.856 0.000
3 Mg 0.500 0.500 0.000
4 H 0.359 0.359 0.000
5 H 0.500 0.000 0.500
6 H 0.641 0.641 0.000
7 F 0.000 0.500 0.500

=====

(6)
An optimized crystal structure of MgH2SeF. Source: Alexandria via LeMat-Bulk, functional PBE.

- Space group: P4/mmm, No. 123
- Raw total energy: -2.763 eV per atom

Unit cell a=3.510 b=3.510 c=5.927 alpha=90.00 beta=90.00 gamma=90.00
Fractional positions:
1 Mg 0.000 0.000 0.000
2 H 0.000 0.500 0.000
3 H 0.500 0.000 0.000
4 Se 0.000 0.000 0.500
5 F 0.500 0.500 0.500

=====

(7)
An optimized crystal structure of MgSnH2F. Source: Alexandria via LeMat-Bulk, functional PBE.

- Space group: P4/mmm, No. 123
- Raw total energy: -3.319 eV per atom

Unit cell a=3.679 b=3.679 c=5.842 alpha=90.00 beta=90.00 gamma=90.00
Fractional positions:
1 Mg 0.000 0.000 0.000
2 Sn 0.000 0.000 0.500
3 H 0.000 0.500 0.500
4 H 0.500 0.000 0.500
5 F 0.500 0.500 0.000

=====

Question: Which value of raw total energy does entry 7 give?
Answer: -3.319 eV per atom

=====

Question: raw total energy of number 6 (MgH2SeF)?
Answer: -2.763 eV per atom

=====

Question: What is the formula in the fifth record?
Answer: Rb2MgH3F

=====

Question: What is the raw total energy in the third record?
Answer: -4.166 eV per atom